NaCdB3 after structural relaxation. Source: OQMD via LeMat-Bulk, functional PBE.

Output
The electronic total energy is -1.930 eV per atom.

Cell: 7.7461 7.7461 4.1890 Å, 90.00 90.00 120.00°
Space group P6_3/mmc (No. 194)
Asymmetric unit:
Na: 0.0000 0.0000 0.0000
Cd: 0.3333 0.6667 0.2500
B: 0.1675 0.3351 0.2500